Record 1
Material: Pr3NiAg2
Method: DFT, PBE
State: relaxed

Unit cell a=6.035 b=7.824 c=8.010 alpha=104.17 beta=112.13 gamma=90.00
Atoms (fractional coordinates):
1 Pr 0.138 0.571 0.276
2 Ag 0.683 0.090 0.366
3 Pr 0.138 0.071 0.276
4 Ag 0.317 0.910 0.634
5 Ni 0.000 0.250 0.000
6 Pr 0.500 0.750 0.000
7 Pr 0.500 0.250 0.000
8 Ag 0.683 0.590 0.366
9 Ni 0.000 0.750 0.000
10 Pr 0.862 0.429 0.724
11 Pr 0.862 0.929 0.724
12 Ag 0.317 0.410 0.634

Summary:
The formation energy is -0.095 eV per atom. As for the symmetry: C2/m. The calculation puts the distance to the lowest polymorph of the same formula at 120.9 meV/atom. The calculation puts the density of states at the Fermi level at 0.91 states/eV/atom.


Record 2
Material: SmDyHg4
Method: DFT, PBE
State: relaxed

Unit cell a=4.528 b=4.545 c=8.602 alpha=90.00 beta=89.99 gamma=89.99
Atoms (fractional coordinates):
1 Hg 0.001 0.497 0.255
2 Dy 0.001 0.997 0.498
3 Sm 0.501 0.497 0.998
4 Hg 0.001 0.497 0.742
5 Hg 0.501 0.997 0.743
6 Hg 0.501 0.997 0.254

Summary:
The formation energy is -0.174 eV per atom. As for the symmetry: Pmmm. The calculation puts the distance to the lowest polymorph of the same formula at 173.0 meV/atom. The calculation puts the density of states at the Fermi level at 0.60 states/eV/atom.


Record 3
Material: SrMgRh
Method: DFT, PBE
State: relaxed

Unit cell a=6.055 b=8.584 c=6.059 alpha=90.00 beta=90.00 gamma=110.65
Atoms (fractional coordinates):
1 Mg 0.250 0.000 0.250
2 Rh 0.102 0.204 0.000
3 Mg 0.750 0.000 0.250
4 Mg 0.750 0.000 0.750
5 Rh 0.602 0.204 0.500
6 Rh 0.398 0.796 0.500
7 Rh 0.898 0.796 0.000
8 Sr 0.827 0.654 0.500
9 Sr 0.673 0.346 0.000
10 Sr 0.173 0.346 0.500
11 Sr 0.327 0.654 0.000
12 Mg 0.250 0.000 0.750

Summary:
The formation energy is -0.319 eV per atom. As for the symmetry: I4/mmm. The calculation puts the density of states at the Fermi level at 0.54 states/eV/atom.


Record 4
Material: Tb2Dy4Tm5
Method: DFT, PBE
State: relaxed

Unit cell a=3.622 b=9.780 c=12.532 alpha=123.71 beta=81.71 gamma=111.75
Atoms (fractional coordinates):
1 Tm 0.076 0.958 0.764
2 Tm 0.500 0.000 0.000
3 Dy 0.676 0.648 0.945
4 Tb 0.110 0.725 0.230
5 Dy 0.246 0.574 0.657
6 Tm 0.924 0.042 0.236
7 Tm 0.579 0.829 0.499
8 Dy 0.754 0.426 0.343
9 Dy 0.324 0.352 0.055
10 Tb 0.890 0.275 0.770
11 Tm 0.421 0.171 0.501

Summary:
The formation energy is 0.059 eV per atom. As for the symmetry: C2/m. The calculation puts the distance to the lowest polymorph of the same formula at 0.0 meV/atom. The calculation puts the density of states at the Fermi level at 1.54 states/eV/atom.